# 1
Computed, not measured: a crystal of SbAs2PbBr relaxed with PBEsol at the SCAN level of DFT. Values from VASP.

Cell and atoms, written as Quantum ESPRESSO input:
```
&SYSTEM
  ibrav = 0, nat = 5, ntyp = 4
/
ATOMIC_SPECIES
Sb 121.76 Sb.upf
As 74.92 As.upf
Pb 207.20 Pb.upf
Br 79.90 Br.upf
ATOMIC_POSITIONS angstrom
Sb 0.000 0.000 0.000
As 0.000 2.620 0.000
As 2.620 0.000 0.000
Pb 2.620 2.620 2.702
Br 0.000 0.000 2.702
CELL_PARAMETERS angstrom
5.241 0.000 0.000
0.000 5.241 0.000
0.000 0.000 5.404
```

Summary:
- SG: P4/mmm, No. 123
- Energy: -170.5 eV per cell
- E_form (uncorrected): 0.4815 eV/atom
- Magnetic moment: 0.00 μB per cell


# 2
Computed, not measured: a crystal of NbSiPS2 relaxed with PBEsol at the SCAN level of DFT. Values from VASP.

Cell and atoms, written as Quantum ESPRESSO input:
```
&SYSTEM
  ibrav = 0, nat = 5, ntyp = 4
/
ATOMIC_SPECIES
Nb 92.91 Nb.upf
Si 28.09 Si.upf
P 30.97 P.upf
S 32.06 S.upf
ATOMIC_POSITIONS angstrom
Nb 0.000 0.000 0.000
Si 2.343 2.343 2.448
P 0.000 0.000 2.448
S 0.000 2.343 0.000
S 2.343 0.000 0.000
CELL_PARAMETERS angstrom
4.686 0.000 0.000
0.000 4.686 0.000
0.000 0.000 4.895
```

Summary:
- SG: P4/mmm, No. 123
- Energy: -71.0 eV per cell
- E_form (uncorrected): 0.3537 eV/atom
- Magnetic moment: 0.00 μB per cell


# 3
Computed, not measured: a crystal of Ba2HgBr relaxed with PBEsol at the SCAN level of DFT. Values from VASP.

Cell and atoms, written as Quantum ESPRESSO input:
```
&SYSTEM
  ibrav = 0, nat = 12, ntyp = 3
/
ATOMIC_SPECIES
Ba 137.33 Ba.upf
Hg 200.59 Hg.upf
Br 79.90 Br.upf
ATOMIC_POSITIONS angstrom
Ba 0.000 0.000 6.269
Ba 0.000 0.000 18.927
Ba 0.000 2.675 10.528
Ba 0.000 2.675 23.065
Ba 2.316 1.337 2.130
Ba 2.316 1.337 14.667
Hg 0.000 0.000 12.598
Hg 0.000 2.675 4.199
Hg 2.316 1.337 20.996
Br 0.000 0.000 0.000
Br 0.000 2.675 16.797
Br 2.316 1.337 8.398
CELL_PARAMETERS angstrom
4.633 0.000 0.000
-2.316 4.012 0.000
0.000 0.000 25.195
```

Summary:
- SG: R-3m, No. 166
- Energy: -514.8 eV per cell
- E_form (uncorrected): -1.2225 eV/atom
- Magnetic moment: 1.00 μB per cell


# 4
Computed, not measured: a crystal of Li2MgHg relaxed with PBEsol at the SCAN level of DFT. Values from VASP.

Cell and atoms, written as Quantum ESPRESSO input:
```
&SYSTEM
  ibrav = 0, nat = 4, ntyp = 3
/
ATOMIC_SPECIES
Li 6.94 Li.upf
Mg 24.30 Mg.upf
Hg 200.59 Hg.upf
ATOMIC_POSITIONS angstrom
Li 0.000 0.000 0.000
Li 1.725 1.725 1.540
Mg 1.725 1.725 4.585
Hg 0.000 0.000 2.912
CELL_PARAMETERS angstrom
3.449 0.000 0.000
0.000 3.449 0.000
0.000 0.000 6.306
```

Summary:
- SG: P4mm, No. 99
- Energy: -79.1 eV per cell
- Formation enthalpy at 0 K: -0.293 eV per atom
- Offset from the most stable computed form: 0.124 eV per atom
- Magnetic moment: 0.00 μB per cell


# 5
Computed, not measured: a crystal of ZnCrP2O7 relaxed with PBEsol at the SCAN level of DFT. Values from VASP.

Cell and atoms, written as Quantum ESPRESSO input:
```
&SYSTEM
  ibrav = 0, nat = 22, ntyp = 4
/
ATOMIC_SPECIES
Zn 65.41 Zn.upf
Cr 52.00 Cr.upf
P 30.97 P.upf
O 16.00 O.upf
ATOMIC_POSITIONS angstrom
Zn 1.198 1.973 2.018
Zn 7.881 6.432 4.573
Cr 3.781 4.115 4.767
Cr 5.299 4.290 1.824
P 2.225 5.011 1.750
P 4.815 7.170 5.409
P 4.264 1.235 1.182
P 6.855 3.394 4.841
O 1.037 4.030 1.660
O 1.871 6.278 2.544
O 3.712 6.136 5.046
O 2.512 5.575 0.299
O 3.414 4.274 2.331
O 2.885 1.853 1.022
O 3.764 2.150 4.561
O 5.316 6.255 2.030
O 6.195 6.552 5.569
O 5.666 4.132 4.260
O 6.567 2.830 6.292
O 5.367 2.269 1.545
O 7.209 2.128 4.047
O 8.042 4.375 4.931
CELL_PARAMETERS angstrom
6.227 0.000 0.000
0.973 6.264 0.000
1.879 2.141 6.591
```

Summary:
- SG: P-1, No. 2
- Energy: -242.6 eV per cell
- E_form (uncorrected): -2.2727 eV/atom
- Magnetic moment: 8.00 μB per cell


# 6
Computed, not measured: a crystal of NaHfBe3 relaxed with PBEsol at the SCAN level of DFT. Values from VASP.

Cell and atoms, written as Quantum ESPRESSO input:
```
&SYSTEM
  ibrav = 0, nat = 5, ntyp = 3
/
ATOMIC_SPECIES
Na 22.99 Na.upf
Hf 178.49 Hf.upf
Be 9.01 Be.upf
ATOMIC_POSITIONS angstrom
Na 0.000 0.000 0.000
Hf 2.069 2.069 2.069
Be 0.000 0.000 2.069
Be 0.000 2.069 0.000
Be 2.069 0.000 0.000
CELL_PARAMETERS angstrom
4.139 0.000 0.000
0.000 4.139 0.000
0.000 0.000 4.139
```

Summary:
- SG: Pm-3m, No. 221
- Energy: -73.5 eV per cell
- Formation enthalpy at 0 K: 1.287 eV per atom
- Offset from the most stable computed form: 0.000 eV per atom
- Magnetic moment: 0.00 μB per cell


# 7
Computed, not measured: a crystal of CdSi2Rh relaxed with PBEsol at the SCAN level of DFT. Values from VASP.

Cell and atoms, written as Quantum ESPRESSO input:
```
&SYSTEM
  ibrav = 0, nat = 16, ntyp = 3
/
ATOMIC_SPECIES
Cd 112.41 Cd.upf
Si 28.09 Si.upf
Rh 102.91 Rh.upf
ATOMIC_POSITIONS angstrom
Cd 0.000 0.000 0.000
Cd 0.000 3.041 2.294
Cd 3.041 0.000 6.881
Cd 3.041 3.041 4.588
Si 1.215 1.521 5.735
Si 1.521 4.256 8.028
Si 1.521 4.868 3.441
Si 1.826 1.521 1.147
Si 4.256 4.562 1.147
Si 4.562 1.215 3.441
Si 4.562 1.826 8.028
Si 4.868 4.562 5.735
Rh 0.000 0.000 4.588
Rh 0.000 3.041 6.881
Rh 3.041 0.000 2.294
Rh 3.041 3.041 0.000
CELL_PARAMETERS angstrom
6.082 0.000 0.000
0.000 6.082 0.000
0.000 0.000 9.175
```

Summary:
- SG: I-42d, No. 122
- Energy: -333.0 eV per cell
- E_form (uncorrected): 0.2449 eV/atom
- Magnetic moment: 0.00 μB per cell


# 8
Computed, not measured: a crystal of TaTlCd relaxed with PBEsol at the SCAN level of DFT. Values from VASP.

Cell and atoms, written as Quantum ESPRESSO input:
```
&SYSTEM
  ibrav = 0, nat = 6, ntyp = 3
/
ATOMIC_SPECIES
Ta 180.95 Ta.upf
Tl 204.38 Tl.upf
Cd 112.41 Cd.upf
ATOMIC_POSITIONS angstrom
Ta 0.000 0.000 0.000
Ta 1.476 1.994 5.185
Tl 0.000 0.000 6.941
Tl 1.476 1.994 1.756
Cd 0.000 0.000 3.576
Cd 1.476 1.994 8.761
CELL_PARAMETERS angstrom
2.952 0.000 0.000
0.000 3.988 0.000
0.000 0.000 10.369
```

Summary:
- SG: Imm2, No. 44
- Energy: -334.9 eV per cell
- Formation enthalpy at 0 K: 0.638 eV per atom
- Magnetic moment: 0.01 μB per cell


# 9
Computed, not measured: a crystal of TaRu2Rh relaxed with PBEsol at the SCAN level of DFT. Values from VASP.

Cell and atoms, written as Quantum ESPRESSO input:
```
&SYSTEM
  ibrav = 0, nat = 4, ntyp = 3
/
ATOMIC_SPECIES
Ta 180.95 Ta.upf
Ru 101.07 Ru.upf
Rh 102.91 Rh.upf
ATOMIC_POSITIONS angstrom
Ta 0.000 0.000 0.000
Ru 0.000 1.920 1.930
Ru 1.920 0.000 1.930
Rh 1.920 1.920 0.000
CELL_PARAMETERS angstrom
3.840 0.000 0.000
0.000 3.840 0.000
0.000 0.000 3.860
```

Summary:
- SG: P4/mmm, No. 123
- Energy: -171.5 eV per cell
- Formation enthalpy at 0 K: -0.377 eV per atom
- Offset from the most stable computed form: 0.000 eV per atom
- Magnetic moment: 0.00 μB per cell


# 10
Computed, not measured: a crystal of FeNi2Rh relaxed with PBEsol at the SCAN level of DFT. Values from VASP.

Cell and atoms, written as Quantum ESPRESSO input:
```
&SYSTEM
  ibrav = 0, nat = 4, ntyp = 3
/
ATOMIC_SPECIES
Fe 55.84 Fe.upf
Ni 58.69 Ni.upf
Rh 102.91 Rh.upf
ATOMIC_POSITIONS angstrom
Fe 0.000 0.000 0.000
Ni -0.691 1.286 2.066
Ni 1.486 0.000 2.066
Rh 2.177 1.286 0.000
CELL_PARAMETERS angstrom
4.353 0.000 0.000
0.000 2.572 0.000
-1.381 0.000 4.131
```

Summary:
- SG: P2/m, No. 10
- Energy: -84.5 eV per cell
- Formation enthalpy at 0 K: -0.069 eV per atom
- Magnetic moment: 5.19 μB per cell


# 11
Computed, not measured: a crystal of Gd2AlCo2 relaxed with PBEsol at the SCAN level of DFT. Values from VASP.

Cell and atoms, written as Quantum ESPRESSO input:
```
&SYSTEM
  ibrav = 0, nat = 10, ntyp = 3
/
ATOMIC_SPECIES
Gd 157.25 Gd.upf
Al 26.98 Al.upf
Co 58.93 Co.upf
ATOMIC_POSITIONS angstrom
Gd 0.000 0.000 1.692
Gd 0.000 0.000 6.605
Gd 2.001 2.696 2.456
Gd 2.001 2.696 5.841
Al 0.000 2.696 0.000
Al 2.001 0.000 4.149
Co 0.000 1.489 4.149
Co 0.000 3.903 4.149
Co 2.001 1.207 0.000
Co 2.001 4.185 0.000
CELL_PARAMETERS angstrom
4.001 0.000 0.000
0.000 5.392 0.000
0.000 0.000 8.298
```

Summary:
- SG: Immm, No. 71
- Energy: -322.4 eV per cell
- Formation enthalpy at 0 K: -0.242 eV per atom
- Magnetic moment: 26.98 μB per cell


# 12
Computed, not measured: a crystal of YAg2 relaxed with PBEsol at the SCAN level of DFT. Values from VASP.

Cell and atoms, written as Quantum ESPRESSO input:
```
&SYSTEM
  ibrav = 0, nat = 6, ntyp = 2
/
ATOMIC_SPECIES
Y 88.91 Y.upf
Ag 107.87 Ag.upf
ATOMIC_POSITIONS angstrom
Y 0.000 2.851 1.477
Y 2.469 1.426 4.432
Ag 0.000 0.000 0.000
Ag 0.000 0.000 2.955
Ag 0.000 2.851 4.432
Ag 2.469 1.426 1.477
CELL_PARAMETERS angstrom
4.938 0.000 0.000
-2.469 4.277 0.000
0.000 0.000 5.909
```

Summary:
- SG: P6_3/mmc, No. 194
- Energy: -182.8 eV per cell
- Formation enthalpy at 0 K: -0.271 eV per atom
- Magnetic moment: 0.00 μB per cell


# 13
Computed, not measured: a crystal of Cd3In2 relaxed with PBEsol at the SCAN level of DFT. Values from VASP.

Cell and atoms, written as Quantum ESPRESSO input:
```
&SYSTEM
  ibrav = 0, nat = 15, ntyp = 2
/
ATOMIC_SPECIES
Cd 112.41 Cd.upf
In 114.82 In.upf
ATOMIC_POSITIONS angstrom
Cd 0.000 0.000 0.000
Cd 0.000 0.000 6.775
Cd 0.000 0.000 27.331
Cd 0.000 1.962 15.962
Cd 0.000 1.962 22.737
Cd 0.000 1.962 29.513
Cd 1.699 0.981 4.594
Cd 1.699 0.981 11.369
Cd 1.699 0.981 18.144
In 0.000 0.000 13.658
In 0.000 0.000 20.449
In 0.000 1.962 2.289
In 0.000 1.962 9.080
In 1.699 0.981 25.026
In 1.699 0.981 31.817
CELL_PARAMETERS angstrom
3.398 0.000 0.000
-1.699 2.943 0.000
0.000 0.000 34.106
```

Summary:
- SG: R-3m, No. 166
- Energy: -473.5 eV per cell
- Formation enthalpy at 0 K: 0.038 eV per atom
- Magnetic moment: 0.00 μB per cell